Entry 1:
NbCuBW | OQMD via LeMat-Bulk | PBE-GGA | optimized geometry; distance to the lowest polymorph of the same formula = 0.000 eV/f.u.; calculated total energy = -29.96 eV per cell
1.0
-0.725 -3.334 2.571
-3.373 -2.530 -0.683
0.572 -3.978 -1.448
Cu W B Nb
1 1 1 1
Direct
0.750 0.750 0.750
0.250 0.250 0.250
0.000 0.000 0.000
0.500 0.500 0.500

=====

Entry 2:
LaZnCdPt2 | OQMD via LeMat-Bulk | PBE-GGA | optimized geometry; DFT formation energy = -72.2 kJ/mol of atoms; calculated total energy = -22.93 eV per cell
1.0
0.730 2.224 6.591
-4.668 0.860 5.137
2.421 -4.250 -5.000
Pt Zn Cd La
2 1 1 1
Direct
0.855 0.355 0.500
0.645 0.145 0.500
0.000 0.000 0.000
0.500 0.500 0.000
0.250 0.750 0.500

=====

Entry 3:
Er2Mg3Re | OQMD via LeMat-Bulk | PBE-GGA | optimized geometry; calculated total energy = -50.99 eV per cell
1.0
5.581 0.000 0.000
-2.791 4.833 0.000
0.000 0.000 9.777
Re Mg Er
2 6 4
Direct
0.000 0.000 0.000
0.000 0.000 0.500
0.163 0.837 0.750
0.837 0.163 0.250
0.675 0.837 0.750
0.837 0.675 0.250
0.325 0.163 0.250
0.163 0.325 0.750
0.333 0.667 0.451
0.667 0.333 0.951
0.667 0.333 0.549
0.333 0.667 0.049

=====

Entry 4:
LiSc2AlIr4 | OQMD via LeMat-Bulk | PBE-GGA | optimized geometry; calculated total energy = -59.67 eV per cell
1.0
-2.308 1.858 3.241
-3.309 0.750 -2.787
-2.469 -5.565 1.433
Sc Ir Li Al
2 4 1 1
Direct
0.500 0.500 0.500
0.000 0.000 0.000
0.500 0.000 0.747
0.500 0.000 0.253
0.000 0.500 0.253
0.000 0.500 0.747
0.500 0.500 0.000
0.000 0.000 0.500

=====

Entry 5:
PmNb3C | OQMD via LeMat-Bulk | PBE-GGA | optimized geometry; calculated total energy = -43.61 eV per cell
1.0
4.495 0.000 0.000
0.000 4.495 0.000
0.000 0.000 4.495
Pm C Nb
1 1 3
Direct
0.000 0.000 0.000
0.500 0.500 0.500
0.500 0.000 0.500
0.500 0.500 0.000
0.000 0.500 0.500

=====

Entry 6:
SrDySi4Ni2 | OQMD via LeMat-Bulk | PBE-GGA | optimized geometry; calculated total energy = -44.41 eV per cell
1.0
3.989 0.000 0.000
0.000 2.051 8.406
0.000 -2.051 8.406
Si Ni Sr Dy
4 2 1 1
Direct
0.000 0.963 0.963
0.500 0.747 0.747
0.500 0.044 0.044
0.000 0.247 0.247
0.000 0.819 0.819
0.500 0.177 0.177
0.500 0.394 0.394
0.000 0.609 0.609